Here is a relaxed Eu2GaBi crystal from the Alexandria database. Energies are from PBE.

Cell: 5.5413 5.5413 5.5413 Å, 60.00 60.00 60.00°
Closest atoms and distances in Å follow each position.
Fractional positions:
Eu (0.2500, 0.2500, 0.2500)  4 Bi 3.39, 4 Ga 3.39
Eu (0.7500, 0.7500, 0.7500)  4 Bi 3.39, 4 Ga 3.39
Ga (0.0000, 0.0000, 0.0000)  8 Eu 3.39
Bi (0.5000, 0.5000, 0.5000)  8 Eu 3.39

- space-group type = Fm-3m (225)
- offset from the most stable computed form (meV/atom) = 46
- crystal system = cubic